Computed, not measured: an optimized crystal structure of PaTaFe2Ge4 at the PBE level of DFT.

The structure in POSCAR format:
```
PaTaFe2Ge4
1.0
4.585 0.000 0.000
0.000 4.585 0.000
0.000 0.000 6.954
Pa Ta Fe Ge
1 1 2 4
Direct
0.000 0.000 0.000
0.000 0.000 0.500
0.500 0.500 0.346
0.500 0.500 0.654
0.000 0.500 0.267
0.500 0.000 0.733
0.500 0.000 0.267
0.000 0.500 0.733
```

formation energy = 0.051 eV/atom
DOS(E_F) = 0.61 states/eV/atom
total moment = 3.7 μB/f.u.
crystal system = tetragonal